1.
Material: DyEr3Ga
Method: DFT, PBE
State: optimized geometry

extended XYZ file:
```
10
Lattice="5.867 -4.412 0.000 5.867 4.412 0.000 -4.905 0.000 5.849" Properties=species:S:1:pos:R:3 pbc="T T T"
Dy -0.536 0.000 1.586
Dy 7.364 0.000 4.263
Er -1.135 1.696 4.404
Er -1.135 -1.696 4.404
Er 1.941 0.000 3.923
Er 4.887 0.000 1.926
Er 7.963 1.696 1.445
Er 7.963 -1.696 1.445
Ga 2.323 0.000 0.667
Ga 4.505 0.000 5.182
```

* crystal system: monoclinic
* size of the total moment: 0.000 μB per formula unit
* formation energy: -0.065 eV/atom

=====

2.
Material: Na2LiDyCl6
Method: DFT, PBE
State: optimized geometry

extended XYZ file:
```
10
Lattice="0.000 5.130 5.130 5.130 0.000 5.130 5.130 5.130 0.000" Properties=species:S:1:pos:R:3 pbc="T T T"
Na 2.565 2.565 2.565
Na 7.696 7.696 7.696
Li 0.000 0.000 0.000
Dy 5.130 5.130 5.130
Cl 5.130 5.130 2.519
Cl 5.130 2.519 5.130
Cl 7.742 5.130 5.130
Cl 2.519 5.130 5.130
Cl 5.130 7.742 5.130
Cl 5.130 5.130 7.742
```

* formation energy without anion corrections: -1881 meV/atom
* crystal system: cubic
* excess energy over the best structure of this formula in the dataset: 114 meV/atom
* size of the total moment: 0.000 μB per formula unit

=====

3.
Material: TbThMn2
Method: DFT, PBE
State: optimized geometry

extended XYZ file:
```
4
Lattice="4.988 0.000 0.000 0.000 4.988 0.000 0.000 0.000 3.615" Properties=species:S:1:pos:R:3 pbc="T T T"
Tb 0.000 0.000 0.000
Th 2.494 2.494 0.000
Mn 0.000 2.494 1.808
Mn 2.494 0.000 1.808
```

* crystal system: tetragonal
* size of the total moment: 5.818 μB per formula unit
* formation energy: 0.205 eV/atom

=====

4.
Material: LiYHo2
Method: DFT, PBE
State: optimized geometry

extended XYZ file:
```
4
Lattice="5.553 0.000 0.000 0.000 5.553 0.000 0.000 0.000 3.769" Properties=species:S:1:pos:R:3 pbc="T T T"
Li 0.000 0.000 0.000
Y 2.777 2.777 0.000
Ho 0.000 2.777 1.885
Ho 2.777 0.000 1.885
```

* crystal system: tetragonal
* excess energy over the best structure of this formula in the dataset: 94 meV/atom
* size of the total moment: 0.000 μB per formula unit
* formation energy: 0.166 eV/atom

=====

5.
Material: TaFeNi2
Method: DFT, PBE
State: optimized geometry

extended XYZ file:
```
4
Lattice="2.693 0.000 0.000 0.000 2.693 0.000 0.000 0.000 7.149" Properties=species:S:1:pos:R:3 pbc="T T T"
Ta 0.000 0.000 0.000
Fe 0.000 0.000 3.575
Ni 1.346 1.346 1.927
Ni 1.346 1.346 5.222
```

* crystal system: tetragonal
* size of the total moment: 3.338 μB per formula unit
* formation energy: -0.059 eV/atom

=====

6.
Material: CeYUO6
Method: DFT, PBE
State: optimized geometry

extended XYZ file:
```
18
Lattice="5.816 0.000 0.000 -2.908 5.036 0.000 0.000 0.000 9.574" Properties=species:S:1:pos:R:3 pbc="T T T"
Ce 0.000 0.000 0.000
Ce 0.000 0.000 4.787
Y 0.000 3.358 2.393
Y 2.908 1.679 7.180
U 0.000 3.358 7.180
U 2.908 1.679 2.393
O -0.909 1.788 6.074
O -1.814 3.355 8.287
O 0.909 1.788 8.287
O -0.905 4.930 6.074
O 2.003 0.106 1.287
O 1.094 1.682 3.500
O 1.814 3.355 6.074
O 0.905 4.930 8.287
O 3.812 0.106 3.500
O 1.998 3.249 1.287
O 4.722 1.682 1.287
O 3.817 3.249 3.500
```

* formation energy without anion corrections: -3332 meV/atom
* crystal system: trigonal
* size of the total moment: 1.003 μB per formula unit